Entry 1:
Entry from Alexandria: Ag5RhCl8 after structural relaxation (GGA-PBE).

Lattice parameters (Å, degrees): 7.914 7.914 7.914 103.49 103.49 122.25
Element x y z (fractional)
Ag1 0.795 0.325 0.938
Ag2 0.675 0.613 0.470
Ag3 0.387 0.857 0.062
Ag4 0.500 0.500 0.000
Ag5 0.143 0.205 0.530
Rh1 0.250 0.750 0.500
Cl1 0.099 0.761 0.220
Cl2 0.239 0.460 0.338
Cl3 0.724 0.886 0.304
Cl4 0.114 0.418 0.837
Cl5 0.581 0.276 0.163
Cl6 0.122 0.901 0.662
Cl7 0.540 0.878 0.780
Cl8 0.582 0.419 0.696

Properties
- Calculated density: 4.188 g cm⁻³
- DOS at the Fermi energy: 6.8 states/eV/cell
- Formation energy (no corrections): -5.05 eV per formula unit
- Space-group type: I-4


Entry 2:
Entry from Alexandria: AgRhCl2 after structural relaxation (GGA-PBE).

Lattice parameters (Å, degrees): 4.697 4.697 4.697 60.00 60.00 60.00
Element x y z (fractional)
Rh1 0.000 0.000 0.000
Ag1 0.500 0.500 0.500
Cl1 0.250 0.250 0.250
Cl2 0.750 0.750 0.750

Properties
- Calculated density: 6.382 g cm⁻³
- DOS at the Fermi energy: 2.6 states/eV/cell
- Formation energy (no corrections): 0.97 eV per formula unit
- Space-group type: Fm-3m


Entry 3:
Entry from Alexandria: AgRhCl after structural relaxation (GGA-PBE).

Lattice parameters (Å, degrees): 7.087 6.748 3.068 83.44 71.09 25.47
Element x y z (fractional)
Ag1 0.007 0.007 0.993
Cl1 0.314 0.314 0.686
Rh1 0.679 0.679 0.321

Properties
- Calculated density: 7.620 g cm⁻³
- DOS at the Fermi energy: 1.8 states/eV/cell
- Formation energy (no corrections): 0.84 eV per formula unit
- Space-group type: Fmm2


Entry 4:
Entry from Alexandria: Ag2RhCl after structural relaxation (GGA-PBE).

Lattice parameters (Å, degrees): 2.970 2.970 8.932 90.00 90.00 116.73
Element x y z (fractional)
Ag1 0.000 0.000 0.003
Ag2 0.000 0.000 0.497
Cl1 0.500 0.500 0.250
Rh1 0.500 0.500 0.750

Properties
- Calculated density: 8.355 g cm⁻³
- DOS at the Fermi energy: 3.7 states/eV/cell
- Formation energy (no corrections): 0.97 eV per formula unit
- Space-group type: Cmmm


Entry 5:
Entry from Alexandria: Ag2RhCl after structural relaxation (GGA-PBE).

Lattice parameters (Å, degrees): 6.895 6.895 6.895 155.59 145.91 42.38
Element x y z (fractional)
Ag1 0.057 0.057 0.000
Ag2 0.443 0.443 0.000
Cl1 0.750 0.250 0.500
Rh1 0.250 0.750 0.500

Properties
- Calculated density: 7.758 g cm⁻³
- DOS at the Fermi energy: 2.6 states/eV/cell
- Formation energy (no corrections): 1.03 eV per formula unit
- Space-group type: Immm


Entry 6:
Entry from Alexandria: AgRhCl2 after structural relaxation (GGA-PBE).

Lattice parameters (Å, degrees): 7.101 6.327 7.102 152.98 148.13 43.80
Element x y z (fractional)
Rh1 0.497 0.619 0.122
Ag1 0.299 0.723 0.425
Cl1 0.002 0.129 0.127
Cl2 0.702 0.029 0.327

Properties
- Calculated density: 6.178 g cm⁻³
- DOS at the Fermi energy: 2.8 states/eV/cell
- Formation energy (no corrections): 0.05 eV per formula unit
- Space-group type: Amm2